First-principles (GGA-PBE) data for a geometry-optimized TeMo2Au structure, as listed in Alexandria via LeMat-Bulk.

extended XYZ file:
```
4
Lattice="-8.240 1.051 -3.754 -7.911 -2.148 -3.988 -8.991 -0.834 -1.249" Properties=species:S:1:pos:R:3 pbc="T T T"
Au -18.589 -1.428 -6.647
Mo -24.911 -1.914 -8.908
Mo -6.536 -0.502 -2.337
Te -12.821 -0.985 -4.585
```

* D(E_F): 3.8 states/eV per cell
* formation energy (no corrections): 0.3364 eV per atom
* density: 10.7 g/cm3
* V: 20.1 A^3/atom